No. 1
First-principles (PBE-GGA) data for a relaxed KYSbI2 crystal, as listed in the Alexandria database.

abc: 5.897 5.897 6.333
angles: 90.00 90.00 90.00
Each line ends with the local moment (μB).
Positions (direct):
I1 0.000 0.500 0.000  0.04
I2 0.500 0.000 0.000  0.04
Sb1 0.000 0.000 0.500  0.38
K1 0.000 0.000 0.000  0.03
Y1 0.500 0.500 0.500  -0.11

SG: P4/mmm (123)
Calculated volume in Å³/cell: 220.2
Formation energy from raw total energies in eV per atom: 0.193
Magnetization in μB per atom: 0.184
Density in g/cm3: 3.797

***

No. 2
First-principles (PBE-GGA) data for a relaxed KYSbI2 crystal, as listed in the Alexandria database.

abc: 6.107 6.107 5.997
angles: 90.00 90.00 90.00
Each line ends with the local moment (μB).
Positions (direct):
I1 0.000 0.500 0.000  0.05
I2 0.500 0.000 0.000  0.05
Sb1 0.000 0.000 0.500  0.29
K1 0.500 0.500 0.500  0.00
Y1 0.000 0.000 0.000  0.00

SG: P4/mmm (123)
Calculated volume in Å³/cell: 223.7
Formation energy from raw total energies in eV per atom: -0.845
Magnetization in μB per atom: 0.195
Density in g/cm3: 3.739

***

No. 3
First-principles (PBE-GGA) data for a relaxed KZrSbI2 crystal, as listed in the Alexandria database.

abc: 5.930 5.930 5.611
angles: 90.00 90.00 90.00
Positions (direct):
I1 0.000 0.500 0.000
I2 0.500 0.000 0.000
Sb1 0.000 0.000 0.500
K1 0.500 0.500 0.500
Zr1 0.000 0.000 0.000

SG: P4/mmm (123)
Calculated volume in Å³/cell: 197.3
Formation energy from raw total energies in eV per atom: -0.592
Magnetization in μB per atom: 0.000
Density in g/cm3: 4.257

***

No. 4
First-principles (PBE-GGA) data for a relaxed KZrSbI2 crystal, as listed in the Alexandria database.

abc: 6.044 6.044 6.272
angles: 90.00 90.00 90.00
Each line ends with the local moment (μB).
Positions (direct):
I1 0.000 0.500 0.000  -0.11
I2 0.500 0.000 0.000  -0.11
Sb1 0.000 0.000 0.500  -0.73
K1 0.000 0.000 0.000  -0.04
Zr1 0.500 0.500 0.500  1.49

SG: P4/mmm (123)
Calculated volume in Å³/cell: 229.1
Formation energy from raw total energies in eV per atom: 0.794
Magnetization in μB per atom: 0.000
Density in g/cm3: 3.667

***

No. 5
First-principles (PBE-GGA) data for a relaxed KZrSb2I crystal, as listed in the Alexandria database.

abc: 5.547 5.547 6.284
angles: 90.00 90.00 90.00
Positions (direct):
I1 0.000 0.000 0.500
Sb1 0.000 0.500 0.000
Sb2 0.500 0.000 0.000
K1 0.500 0.500 0.500
Zr1 0.000 0.000 0.000

SG: P4/mmm (123)
Calculated volume in Å³/cell: 193.3
Formation energy from raw total energies in eV per atom: -0.399
Magnetization in μB per atom: 0.000
Density in g/cm3: 4.301

***

No. 6
First-principles (PBE-GGA) data for a relaxed KZrSb2I crystal, as listed in the Alexandria database.

abc: 5.741 5.741 5.836
angles: 90.00 90.00 90.00
Each line ends with the local moment (μB).
Positions (direct):
I1 0.000 0.000 0.500  -0.08
Sb1 0.000 0.500 0.000  -0.21
Sb2 0.500 0.000 0.000  -0.21
K1 0.000 0.000 0.000  -0.04
Zr1 0.500 0.500 0.500  1.15

SG: P4/mmm (123)
Calculated volume in Å³/cell: 192.4
Formation energy from raw total energies in eV per atom: 1.181
Magnetization in μB per atom: 0.106
Density in g/cm3: 4.323